Entry 1:
VASP calculation (PBE) on a relaxed LuSnPd crystal.

Values from the calculation:
The magnetization is 0.00 μB per cell. For the uncorrected energy, the calculation gives -5.37 eV/atom.

Cell: 7.1119 7.1119 4.3604 Å, 90.00 90.00 120.00°
With the nearest neighbours (Å) after each atom.
Space group P-62m (No. 189)
Symmetry-distinct sites (fractional):
Lu (0.0000, 0.5648, 0.0000)  5 Sn 3.03-3.10, 2 Pd 3.16
Sn (0.0000, 0.0000, 0.0000)  6 Pd 2.79, 3 Lu 3.10
Sn (0.3333, 0.6667, 0.5000)  3 Pd 2.74, 6 Lu 3.03
Pd (0.0000, 0.2440, 0.5000)  4 Sn 2.74-2.79, 2 Pd 3.01



Entry 2:
VASP calculation (PBE) on a relaxed TaPS4 crystal.

Values from the calculation:
The magnetization is 0.02 μB per cell. The value obtained for the excess energy over the best structure of this formula in the dataset is 4 meV per atom.

Cell: 3.2627 20.2418 6.1071 Å, 90.00 90.00 90.00°
With the nearest neighbours (Å) after each atom.
Space group Cmm2 (No. 35)
Symmetry-distinct sites (fractional):
Ta (0.0000, 0.0000, 0.0000)  6 S 2.45-2.49
P (0.0000, 0.5000, 0.5247)  4 S 2.39
S (0.0000, 0.0736, 0.6726)  2 P 2.39, 1 Ta 2.49
S (0.0000, 0.4222, 0.1511)  2 Ta 2.45



Entry 3:
VASP calculation (PBE) on a relaxed MgAg3 crystal.

Values from the calculation:
The value obtained for the excess energy over the best structure of this formula in the dataset is 0 meV per atom.

Cell: 4.7835 5.8585 5.0519 Å, 90.00 90.00 90.00°
With the nearest neighbours (Å) after each atom.
Space group Pmmn (No. 59, origin choice 2)
Symmetry-distinct sites (fractional):
Mg (0.2500, 0.2500, 0.1657)  12 Ag 2.91-2.93
Ag (0.2500, 0.5006, 0.6686)  4 Mg 2.91-2.93, 8 Ag 2.91-2.94
Ag (0.2500, 0.7500, 0.1696)  8 Ag 2.91-2.92, 4 Mg 2.93



Entry 4:
VASP calculation (PBE) on a relaxed Fe2CuW crystal.

Values from the calculation:
The magnetization is 16.70 μB per cell. For the uncorrected energy, the calculation gives -8.01 eV/atom.

Cell: 5.8018 5.8018 5.8018 Å, 90.00 90.00 90.00°
With the nearest neighbours (Å) after each atom.
Space group F-43m (No. 216)
Symmetry-distinct sites (fractional):
Fe (0.0000, 0.0000, 0.0000)  4 W 2.51, 4 Fe 2.51
Fe (0.2500, 0.2500, 0.2500)  4 Fe 2.51, 4 Cu 2.51
Cu (0.0000, 0.0000, 0.5000)  4 Fe 2.51, 4 W 2.51
W (0.2500, 0.2500, 0.7500)  4 Fe 2.51, 4 Cu 2.51



Entry 5:
VASP calculation (PBE) on a relaxed RbNaTm crystal.

Values from the calculation:
The magnetization is 1.22 μB per cell. The value obtained for the excess energy over the best structure of this formula in the dataset is 78 meV per atom.

Cell: 8.5199 8.5199 8.5199 Å, 90.00 90.00 90.00°
With the nearest neighbours (Å) after each atom.
Space group F-43m (No. 216)
Symmetry-distinct sites (fractional):
Rb (0.0000, 0.0000, 0.0000)  4 Tm 3.69, 4 Na 3.69
Na (0.2500, 0.2500, 0.7500)  4 Rb 3.69
Tm (0.2500, 0.2500, 0.2500)  4 Rb 3.69



Entry 6:
VASP calculation (PBE) on a relaxed Fe2AgBi crystal.

Values from the calculation:
The magnetization is 21.24 μB per cell. For the uncorrected energy, the calculation gives -5.31 eV/atom.

Cell: 6.5327 6.5327 6.5327 Å, 90.00 90.00 90.00°
With the nearest neighbours (Å) after each atom.
Space group F-43m (No. 216)
Symmetry-distinct sites (fractional):
Fe (0.0000, 0.0000, 0.0000)  4 Fe 2.83, 4 Ag 2.83
Fe (0.2500, 0.2500, 0.2500)  4 Fe 2.83, 4 Bi 2.83
Ag (0.2500, 0.2500, 0.7500)  4 Fe 2.83, 4 Bi 2.83
Bi (0.0000, 0.0000, 0.5000)  4 Fe 2.83, 4 Ag 2.83



Entry 7:
VASP calculation (PBE) on a relaxed PrAgPd4 crystal.

Values from the calculation:
The magnetization is 0.04 μB per cell. For the uncorrected energy, the calculation gives -5.25 eV/atom.

Cell: 7.6224 7.6224 7.6224 Å, 90.00 90.00 90.00°
With the nearest neighbours (Å) after each atom.
Space group F-43m (No. 216)
Symmetry-distinct sites (fractional):
Pr (0.0000, 0.0000, 0.0000)  12 Pd 3.16, 4 Ag 3.30
Ag (0.2500, 0.2500, 0.7500)  12 Pd 3.16, 4 Pr 3.30
Pd (0.1246, 0.1246, 0.3754)  6 Pd 2.69-2.70



Entry 8:
VASP calculation (PBE) on a relaxed Gd2ErTe3 crystal.

Values from the calculation:
The magnetization is 0.00 μB per cell. For the uncorrected energy, the calculation gives -5.18 eV/atom.

Cell: 4.3579 4.3579 10.7090 Å, 90.00 90.00 120.00°
With the nearest neighbours (Å) after each atom.
Space group P-3m1 (No. 164)
Symmetry-distinct sites (fractional):
Gd (0.3333, 0.6667, 0.1684)  6 Te 3.10-3.11
Er (0.0000, 0.0000, 0.5000)  6 Te 3.05
Te (0.0000, 0.0000, 0.0000)  6 Gd 3.10
Te (0.3333, 0.6667, 0.6610)  3 Er 3.05, 3 Gd 3.11